Density functional theory data (PBE) for a relaxed TaMo2Br crystal.

Lattice parameters (Å, degrees): 5.4154 5.4154 5.4154 138.90 138.90 59.52
Closest atoms and distances in Å follow each position.
Fractional positions:
Mo 0.0000 0.0000 0.0000  4 Mo 2.69
Mo 0.5000 0.5000 0.0000  4 Mo 2.69
Br 0.7500 0.2500 0.5000  4 Ta 2.69
Ta 0.2500 0.7500 0.5000  4 Br 2.69

Values from the calculation:
E above lowest polymorph   0.539 eV/atom
Total magnetic moment   0.00 μB/f.u.
Total DFT energy (no corrections)   -0.2904 Ha/atom
Uncorrected formation energy   345 kJ/mol of formula units
D(E_F)   3.31 states/eV/cell
V   16.99 A^3/atom